Density functional theory data (GGA-PBE) for an optimized crystal structure of Nd5Sc2Ge4.

The structure in POSCAR format:
```
Nd5Sc2Ge4
1.0
-0.986 -1.746 -3.730
6.921 0.464 -2.047
-1.241 -8.421 6.674
Nd Sc Ge
5 2 4
Cartesian
5.899 -2.622 -0.332
-1.205 -7.081 1.229
2.155 -2.871 0.774
-0.493 -0.873 -1.865
2.538 -6.832 0.123
3.216 -1.952 -2.341
1.477 -7.751 3.238
3.682 -4.400 -1.318
4.776 0.318 -1.412
1.011 -5.303 2.215
-0.083 -10.021 2.309
```

M_tot: 0.0 μB per formula unit
SG: Immm
formation enthalpy at 0 K: -0.56 eV per atom